#A
MnTlIr2: optimized geometry, PBE.

Calculated values
* space group: No. 123
* volume: 64.8 Å³/cell
* Fermi-level density of states: 0.562 states/eV/atom

Cell lengths 3.665, 4.205, 4.205 Å; angles 90.00, 90.00, 90.00 degrees
Element x y z (fractional)
Ir (0.000, 0.000, 0.000)
Ir (0.000, 0.500, 0.500)
Mn (0.500, 0.500, 0.000)
Tl (0.500, 0.000, 0.500)

***

#B
MnTlIr2: optimized geometry, PBE.

Calculated values
* space group: No. 99
* volume: 67.3 Å³/cell
* Fermi-level density of states: 0.664 states/eV/atom

Cell lengths 2.907, 2.907, 7.962 Å; angles 90.00, 90.00, 90.00 degrees
Element x y z (fractional)
Ir (0.000, 0.000, 0.028)
Ir (0.500, 0.500, 0.254)
Mn (0.000, 0.000, 0.462)
Tl (0.500, 0.500, 0.756)

***

Name the most stable of them. #A.

***

#A
MnTlIr2: optimized geometry, PBE.

Calculated values
* space group: No. 12
* volume: 65.2 Å³/cell
* Fermi-level density of states: 0.944 states/eV/atom

Cell lengths 4.721, 4.721, 5.059 Å; angles 79.35, 79.35, 36.16 degrees
Element x y z (fractional)
Ir (0.010, 0.010, 0.970)
Ir (0.490, 0.490, 0.530)
Mn (0.750, 0.750, 0.750)
Tl (0.250, 0.250, 0.250)

***

#B
MnTlIr2: optimized geometry, PBE.

Calculated values
* space group: No. 25
* volume: 65.8 Å³/cell
* Fermi-level density of states: 0.757 states/eV/atom

Cell lengths 3.892, 2.889, 6.527 Å; angles 63.69, 90.00, 90.00 degrees
Element x y z (fractional)
Ir (0.000, 0.978, 0.022)
Ir (0.500, 0.231, 0.269)
Mn (0.000, 0.547, 0.453)
Tl (0.500, 0.744, 0.755)

***

Name the most stable of them. #A.

***

#A
MnTlIr3: optimized geometry, PBE.

Calculated values
* space group: No. 221
* volume: 118.5 Å³/cell
* Fermi-level density of states: 2.758 states/eV/atom

Cell lengths 4.911, 4.911, 4.911 Å; angles 90.00, 90.00, 90.00 degrees
Element x y z (fractional)
Tl (0.000, 0.000, 0.000)
Ir (0.000, 0.500, 0.000)
Ir (0.000, 0.000, 0.500)
Ir (0.500, 0.000, 0.000)
Mn (0.500, 0.500, 0.500)

***

#B
MnTlIr3: optimized geometry, PBE.

Calculated values
* space group: No. 221
* volume: 93.5 Å³/cell
* Fermi-level density of states: 1.039 states/eV/atom

Cell lengths 4.538, 4.538, 4.538 Å; angles 90.00, 90.00, 90.00 degrees
Element x y z (fractional)
Tl (0.500, 0.500, 0.500)
Ir (0.000, 0.500, 0.000)
Ir (0.000, 0.000, 0.500)
Ir (0.500, 0.000, 0.000)
Mn (0.000, 0.000, 0.000)

***

Name the most stable of them. #B.

***

#A
YMn2Ir: optimized geometry, PBE.

Calculated values
* space group: No. 160
* volume: 74.9 Å³/cell
* Fermi-level density of states: 0.878 states/eV/atom

Cell lengths 4.146, 4.146, 5.574 Å; angles 68.14, 68.14, 60.01 degrees
Element x y z (fractional)
Ir (0.286, 0.286, 0.141)
Mn (0.020, 0.020, 0.941)
Mn (0.693, 0.693, 0.919)
Y (0.501, 0.501, 0.498)

***

#B
YMn2Ir: optimized geometry, PBE.

Calculated values
* space group: No. 166
* volume: 71.9 Å³/cell
* Fermi-level density of states: 1.258 states/eV/atom

Cell lengths 9.429, 9.429, 9.429 Å; angles 18.27, 18.27, 18.27 degrees
Element x y z (fractional)
Ir (0.750, 0.750, 0.750)
Mn (0.012, 0.012, 0.012)
Mn (0.488, 0.488, 0.488)
Y (0.250, 0.250, 0.250)

***

Name the most stable of them. #A.

***

#A
Mn2ZnIr2: optimized geometry, PBE.

Calculated values
* space group: No. 127
* volume: 148.0 Å³/cell
* Fermi-level density of states: 0.942 states/eV/atom

Cell lengths 7.235, 7.235, 2.827 Å; angles 90.00, 90.00, 90.00 degrees
Element x y z (fractional)
Zn (0.000, 0.000, 0.000)
Zn (0.500, 0.500, 0.000)
Ir (0.363, 0.863, 0.000)
Ir (0.863, 0.637, 0.000)
Ir (0.637, 0.137, 0.000)
Ir (0.137, 0.363, 0.000)
Mn (0.161, 0.661, 0.500)
Mn (0.661, 0.839, 0.500)
Mn (0.839, 0.339, 0.500)
Mn (0.339, 0.161, 0.500)

***

#B
Mn2ZnIr2: optimized geometry, PBE.

Calculated values
* space group: No. 127
* volume: 138.2 Å³/cell
* Fermi-level density of states: 0.902 states/eV/atom

Cell lengths 7.185, 7.185, 2.678 Å; angles 90.00, 90.00, 90.00 degrees
Element x y z (fractional)
Zn (0.000, 0.000, 0.000)
Zn (0.500, 0.500, 0.000)
Ir (0.175, 0.675, 0.500)
Ir (0.675, 0.825, 0.500)
Ir (0.825, 0.325, 0.500)
Ir (0.325, 0.175, 0.500)
Mn (0.384, 0.884, 0.000)
Mn (0.884, 0.616, 0.000)
Mn (0.616, 0.116, 0.000)
Mn (0.116, 0.384, 0.000)

***

Name the most stable of them. #A.

***

#A
MnZn6Ir: optimized geometry, PBE.

Calculated values
* space group: No. 12
* volume: 114.6 Å³/cell
* Fermi-level density of states: 0.453 states/eV/atom

Cell lengths 4.731, 6.670, 6.219 Å; angles 42.89, 73.64, 60.08 degrees
Element x y z (fractional)
Mn (0.500, 0.500, 0.500)
Zn (0.872, 0.628, 0.614)
Zn (0.628, 0.872, 0.886)
Zn (0.753, 0.247, 0.249)
Zn (0.372, 0.128, 0.114)
Zn (0.128, 0.372, 0.386)
Zn (0.247, 0.753, 0.751)
Ir (0.000, 0.000, 0.000)

***

#B
MnZn6Ir: optimized geometry, PBE.

Calculated values
* space group: No. 12
* volume: 132.7 Å³/cell
* Fermi-level density of states: 0.496 states/eV/atom

Cell lengths 4.455, 4.455, 7.157 Å; angles 78.62, 78.62, 74.71 degrees
Element x y z (fractional)
Mn (0.000, 0.000, 0.000)
Zn (0.451, 0.947, 0.691)
Zn (0.947, 0.451, 0.691)
Zn (0.053, 0.549, 0.309)
Zn (0.549, 0.053, 0.309)
Zn (0.614, 0.614, 0.105)
Zn (0.386, 0.386, 0.895)
Ir (0.500, 0.500, 0.500)

***

Name the most stable of them. #A.

***

#A
MnZn3Ir: optimized geometry, PBE.

Calculated values
* space group: No. 221
* volume: 108.2 Å³/cell
* Fermi-level density of states: 0.614 states/eV/atom

Cell lengths 4.765, 4.765, 4.765 Å; angles 90.00, 90.00, 90.00 degrees
Element x y z (fractional)
Zn (0.000, 0.500, 0.000)
Zn (0.000, 0.000, 0.500)
Zn (0.500, 0.000, 0.000)
Ir (0.000, 0.000, 0.000)
Mn (0.500, 0.500, 0.500)

***

#B
MnZn3Ir: optimized geometry, PBE.

Calculated values
* space group: No. 2
* volume: 294.4 Å³/cell
* Fermi-level density of states: 0.474 states/eV/atom

Cell lengths 4.569, 8.723, 9.185 Å; angles 96.34, 110.19, 115.76 degrees
Element x y z (fractional)
Mn (0.837, 0.622, 0.781)
Mn (0.691, 0.192, 0.356)
Mn (0.163, 0.378, 0.219)
Mn (0.309, 0.808, 0.644)
Zn (0.549, 0.763, 0.932)
Zn (0.966, 0.040, 0.221)
Zn (0.451, 0.237, 0.068)
Zn (0.034, 0.960, 0.779)
Zn (0.138, 0.422, 0.931)
Zn (0.705, 0.137, 0.641)
Zn (0.862, 0.578, 0.069)
Zn (0.295, 0.863, 0.359)
Zn (0.128, 0.472, 0.641)
Zn (0.397, 0.315, 0.504)
Zn (0.872, 0.528, 0.359)
Zn (0.603, 0.685, 0.496)
Ir (0.262, 0.911, 0.075)
Ir (0.738, 0.089, 0.925)
Ir (0.443, 0.301, 0.791)
Ir (0.557, 0.699, 0.209)

***

Name the most stable of them. #B.

***

#A
MnZnIr3: optimized geometry, PBE.

Calculated values
* space group: No. 221
* volume: 88.9 Å³/cell
* Fermi-level density of states: 1.695 states/eV/atom

Cell lengths 4.462, 4.462, 4.462 Å; angles 90.00, 90.00, 90.00 degrees
Element x y z (fractional)
Zn (0.000, 0.000, 0.000)
Ir (0.000, 0.500, 0.000)
Ir (0.000, 0.000, 0.500)
Ir (0.500, 0.000, 0.000)
Mn (0.500, 0.500, 0.500)

***

#B
MnZnIr3: optimized geometry, PBE.

Calculated values
* space group: No. 221
* volume: 88.9 Å³/cell
* Fermi-level density of states: 1.115 states/eV/atom

Cell lengths 4.463, 4.463, 4.463 Å; angles 90.00, 90.00, 90.00 degrees
Element x y z (fractional)
Zn (0.500, 0.500, 0.500)
Ir (0.000, 0.500, 0.000)
Ir (0.000, 0.000, 0.500)
Ir (0.500, 0.000, 0.000)
Mn (0.000, 0.000, 0.000)

***

Name the most stable of them. #B.

***

#A
Zr3MnIr: optimized geometry, PBE.

Calculated values
* space group: No. 221
* volume: 103.4 Å³/cell
* Fermi-level density of states: 1.301 states/eV/atom

Cell lengths 4.694, 4.694, 4.694 Å; angles 90.00, 90.00, 90.00 degrees
Element x y z (fractional)
Mn (0.000, 0.000, 0.000)
Ir (0.500, 0.500, 0.500)
Zr (0.000, 0.500, 0.000)
Zr (0.000, 0.000, 0.500)
Zr (0.500, 0.000, 0.000)

***

#B
Zr3MnIr: optimized geometry, PBE.

Calculated values
* space group: No. 221
* volume: 126.6 Å³/cell
* Fermi-level density of states: 1.935 states/eV/atom

Cell lengths 5.021, 5.021, 5.021 Å; angles 90.00, 90.00, 90.00 degrees
Element x y z (fractional)
Mn (0.500, 0.500, 0.500)
Ir (0.000, 0.000, 0.000)
Zr (0.000, 0.500, 0.000)
Zr (0.000, 0.000, 0.500)
Zr (0.500, 0.000, 0.000)

***

Name the most stable of them. #A.

***

#A
MoIr5: optimized geometry, PBE.

Calculated values
* space group: No. 189
* volume: 88.0 Å³/cell
* Fermi-level density of states: 0.738 states/eV/atom

Cell lengths 4.802, 4.802, 4.409 Å; angles 90.00, 90.00, 120.00 degrees
Element x y z (fractional)
Ir (0.995, 0.000, 0.000)
Ir (0.672, 0.338, 0.000)
Ir (0.333, 0.662, 0.000)
Ir (0.000, 0.333, 0.500)
Ir (0.667, 0.667, 0.500)
Mo (0.333, 0.000, 0.500)

***

#B
MoIr5: optimized geometry, PBE.

Calculated values
* space group: No. 8
* volume: 88.2 Å³/cell
* Fermi-level density of states: 0.842 states/eV/atom

Cell lengths 2.767, 5.229, 6.515 Å; angles 76.37, 90.00, 74.66 degrees
Element x y z (fractional)
Ir (0.000, 0.001, 0.001)
Ir (0.614, 0.773, 0.729)
Ir (0.332, 0.335, 0.667)
Ir (0.942, 0.117, 0.384)
Ir (0.668, 0.664, 0.332)
Mo (0.278, 0.444, 0.054)

***

Name the most stable of them. #A.

***

#A
MoIr5: optimized geometry, PBE.

Calculated values
* space group: No. 12
* volume: 88.0 Å³/cell
* Fermi-level density of states: 0.675 states/eV/atom

Cell lengths 3.884, 4.766, 5.490 Å; angles 106.78, 90.00, 114.05 degrees
Element x y z (fractional)
Mo (0.694, 0.389, 0.889)
Ir (0.027, 0.054, 0.055)
Ir (0.694, 0.389, 0.389)
Ir (0.362, 0.723, 0.723)
Ir (0.356, 0.712, 0.215)
Ir (0.033, 0.066, 0.563)

***

#B
MoIr5: optimized geometry, PBE.

Calculated values
* space group: No. 65
* volume: 88.1 Å³/cell
* Fermi-level density of states: 0.692 states/eV/atom

Cell lengths 6.134, 6.134, 3.895 Å; angles 90.00, 90.00, 143.05 degrees
Element x y z (fractional)
Ir (0.806, 0.194, 0.500)
Ir (0.633, 0.367, 0.000)
Ir (0.472, 0.528, 0.500)
Ir (0.312, 0.688, 0.000)
Ir (0.138, 0.862, 0.500)
Mo (0.972, 0.028, 0.000)

***

#C
MoIr5: optimized geometry, PBE.

Calculated values
* space group: No. 191
* volume: 98.8 Å³/cell
* Fermi-level density of states: 1.234 states/eV/atom

Cell lengths 5.094, 5.094, 4.396 Å; angles 90.00, 90.00, 120.00 degrees
Element x y z (fractional)
Mo (0.000, 0.000, 0.000)
Ir (0.000, 0.500, 0.500)
Ir (0.333, 0.667, 0.000)
Ir (0.500, 0.000, 0.500)
Ir (0.500, 0.500, 0.500)
Ir (0.667, 0.333, 0.000)

***

Name the most stable of them. #B.

***

#A
Mo4Ir3: optimized geometry, PBE.

Calculated values
* space group: No. 139
* volume: 108.9 Å³/cell
* Fermi-level density of states: 1.182 states/eV/atom

Cell lengths 10.258, 10.258, 10.258 Å; angles 161.48, 161.48, 26.31 degrees
Element x y z (fractional)
Mo (0.853, 0.853, 0.000)
Mo (0.573, 0.573, 0.000)
Mo (0.427, 0.427, 0.000)
Mo (0.147, 0.147, 0.000)
Ir (0.000, 0.000, 0.000)
Ir (0.712, 0.712, 0.000)
Ir (0.288, 0.288, 0.000)

***

#B
Mo4Ir3: optimized geometry, PBE.

Calculated values
* space group: No. 191
* volume: 109.6 Å³/cell
* Fermi-level density of states: 0.969 states/eV/atom

Cell lengths 5.124, 5.124, 4.820 Å; angles 90.00, 90.00, 120.00 degrees
Element x y z (fractional)
Mo (0.000, 0.000, 0.260)
Mo (0.000, 0.000, 0.740)
Mo (0.667, 0.333, 0.500)
Mo (0.333, 0.667, 0.500)
Ir (0.000, 0.500, 0.000)
Ir (0.500, 0.500, 0.000)
Ir (0.500, 0.000, 0.000)

***

Name the most stable of them. #B.